No. 1
A plane-wave DFT calculation with PBE-GGA was carried out for an optimized crystal structure of UZnW.

Geometry as POSCAR:
```
UZnW
1.0
0.000 3.188 3.188
3.188 0.000 3.188
3.188 3.188 0.000
U Zn W
1 1 1
Direct
0.000 0.000 0.000
0.750 0.750 0.750
0.250 0.250 0.250
```

Energy relative to the lowest polymorph listed for this composition, kJ per mole of atoms: 47.3
ΔE_f, eV/atom: 1.349

=====

No. 2
A plane-wave DFT calculation with PBE-GGA was carried out for an optimized crystal structure of Na2NbZnS4.

Geometry as POSCAR:
```
Na2NbZnS4
1.0
1.652 4.816 -4.282
-4.578 -2.741 -3.973
-1.690 1.635 5.916
S Zn Nb Na
4 1 1 2
Direct
0.147 0.363 0.563
0.328 0.055 0.946
0.637 0.853 0.437
0.945 0.673 0.054
0.014 0.986 0.500
0.264 0.736 0.000
0.764 0.236 0.000
0.515 0.485 0.500
```

E_tot, eV/atom: -4.708

=====

No. 3
A plane-wave DFT calculation with PBE-GGA was carried out for an optimized crystal structure of Sc2Ge2Os.

Geometry as POSCAR:
```
Sc2Ge2Os
1.0
6.562 0.000 0.000
0.000 6.562 0.000
0.000 0.000 4.005
Sc Ge Os
4 4 2
Direct
0.673 0.827 0.500
0.327 0.173 0.500
0.173 0.673 0.500
0.827 0.327 0.500
0.135 0.365 0.000
0.635 0.135 0.000
0.365 0.865 0.000
0.865 0.635 0.000
0.000 0.000 0.000
0.500 0.500 0.000
```

E_tot, eV/atom: -7.321

=====

No. 4
A plane-wave DFT calculation with PBE-GGA was carried out for an optimized crystal structure of Ga2HgSe2S2.

Geometry as POSCAR:
```
Ga2HgSe2S2
1.0
-0.872 -2.623 5.042
4.538 -3.406 -0.993
1.446 6.469 0.386
Hg S Ga Se
1 2 2 2
Direct
0.999 0.004 0.999
0.404 0.398 0.266
0.597 0.142 0.734
0.739 0.253 0.500
0.501 0.492 0.001
0.133 0.597 0.714
0.878 0.864 0.286
```

E_tot, eV/atom: -3.606

=====

No. 5
A plane-wave DFT calculation with PBE-GGA was carried out for an optimized crystal structure of ZnTePtO.

Geometry as POSCAR:
```
ZnTePtO
1.0
4.576 0.000 0.000
0.000 4.576 0.000
0.000 0.000 7.684
Pt Zn Te O
2 2 2 2
Direct
0.750 0.750 0.698
0.250 0.250 0.302
0.250 0.250 0.812
0.750 0.750 0.188
0.750 0.250 0.500
0.250 0.750 0.500
0.250 0.250 0.048
0.750 0.750 0.952
```

Energy relative to the lowest polymorph listed for this composition, kJ per mole of atoms: 59.9

=====

No. 6
A plane-wave DFT calculation with PBE-GGA was carried out for an optimized crystal structure of Ta2BeZn.

Geometry as POSCAR:
```
Ta2BeZn
1.0
-2.116 1.904 3.428
-3.033 3.179 -0.742
-4.321 -0.837 0.694
Ta Zn Be
2 1 1
Direct
0.000 0.000 0.000
0.750 0.750 0.750
0.250 0.250 0.250
0.500 0.500 0.500
```

E_tot, eV/atom: -6.651

=====

No. 7
A plane-wave DFT calculation with PBE-GGA was carried out for an optimized crystal structure of Nd3AlN.

Geometry as POSCAR:
```
Nd3AlN
1.0
4.986 0.000 0.000
0.000 4.986 0.000
0.000 0.000 4.986
Nd Al N
3 1 1
Direct
0.000 0.500 0.500
0.500 0.500 0.000
0.500 0.000 0.500
0.000 0.000 0.000
0.500 0.500 0.500
```

E_tot, eV/atom: -6.028

=====

No. 8
A plane-wave DFT calculation with PBE-GGA was carried out for an optimized crystal structure of Co3Te5Au.

Geometry as POSCAR:
```
Co3Te5Au
1.0
5.514 0.000 0.000
-2.757 4.775 0.000
0.000 0.000 7.602
Te Co Au
5 3 1
Direct
0.000 0.000 0.500
0.667 0.333 0.238
0.333 0.667 0.238
0.333 0.667 0.762
0.667 0.333 0.762
0.500 0.500 0.500
0.500 0.000 0.500
0.000 0.500 0.500
0.000 0.000 0.000
```

E_tot, eV/atom: -4.363